First-principles (PBE-GGA) data for a relaxed CaCuOs3 crystal, as listed in Alexandria via LeMat-Bulk.

Summary:
Its formation enthalpy at 0 K is 3.31 eV/atom. The value obtained for the excess energy over the best structure of this formula in the dataset is 1668.0 meV per atom. The density of states at the Fermi level is 6.30 states/eV/cell. Its space group is Pm-3m (221).

abc: 4.6495 4.6495 4.6495
angles: 90.00 90.00 90.00
With the nearest neighbours (Å) after each atom.
Element x y z (fractional)
Ca: 0.0000 0.0000 0.0000  6 Os 2.32
Cu: 0.5000 0.5000 0.5000  12 Os 3.29
Os: 0.0000 0.0000 0.5000  2 Ca 2.32
Os: 0.0000 0.5000 0.0000  2 Ca 2.32
Os: 0.5000 0.0000 0.0000  2 Ca 2.32


First-principles (PBE-GGA) data for a relaxed CaCuOs2 crystal, as listed in Alexandria via LeMat-Bulk.

Summary:
Its formation enthalpy at 0 K is 0.66 eV/atom. The value obtained for the excess energy over the best structure of this formula in the dataset is 359.2 meV per atom. The density of states at the Fermi level is 10.60 states/eV/cell. Its space group is R-3m (166).

abc: 2.7919 2.7919 27.9279
angles: 90.00 90.00 120.00
With the nearest neighbours (Å) after each atom.
Element x y z (fractional)
Ca: 0.0000 0.0000 0.0000  6 Ca 2.79, 6 Os 3.02
Ca: 0.3333 0.6667 0.6667  6 Ca 2.79, 6 Os 3.02
Ca: 0.6667 0.3333 0.3333  6 Ca 2.79, 6 Os 3.02
Cu: 0.0000 0.0000 0.5000  6 Os 2.65, 6 Cu 2.79
Cu: 0.3333 0.6667 0.1667  6 Os 2.65, 6 Cu 2.79
Cu: 0.6667 0.3333 0.8333  6 Os 2.65, 6 Cu 2.79
Os: 0.0000 0.0000 0.2420  3 Cu 2.65, 6 Os 2.79
Os: 0.0000 0.0000 0.7580  3 Cu 2.65, 6 Os 2.79
Os: 0.3333 0.6667 0.4247  3 Cu 2.65, 6 Os 2.79
Os: 0.3333 0.6667 0.9086  3 Cu 2.65, 6 Os 2.79
Os: 0.6667 0.3333 0.0914  3 Cu 2.65, 6 Os 2.79
Os: 0.6667 0.3333 0.5753  3 Cu 2.65, 6 Os 2.79


First-principles (PBE-GGA) data for a relaxed CaCuOs2 crystal, as listed in Alexandria via LeMat-Bulk.

Summary:
Its formation enthalpy at 0 K is 0.69 eV/atom. The value obtained for the excess energy over the best structure of this formula in the dataset is 395.8 meV per atom. The density of states at the Fermi level is 6.82 states/eV/cell. Its space group is Cmmm (65).

abc: 5.5965 9.0184 2.5594
angles: 90.00 90.00 90.00
With the nearest neighbours (Å) after each atom.
Element x y z (fractional)
Ca: 0.0000 0.0000 0.0000  2 Ca 2.56, 2 Cu 2.80
Ca: 0.5000 0.5000 0.0000  2 Ca 2.56, 2 Cu 2.80
Cu: 0.0000 0.5000 0.0000  2 Cu 2.56, 2 Ca 2.80
Cu: 0.5000 0.0000 0.0000  2 Cu 2.56, 2 Ca 2.80
Os: 0.2500 0.2500 0.5000  4 Os 2.56-2.80
Os: 0.2500 0.7500 0.5000  4 Os 2.56-2.80
Os: 0.7500 0.2500 0.5000  4 Os 2.56-2.80
Os: 0.7500 0.7500 0.5000  4 Os 2.56-2.80


First-principles (PBE-GGA) data for a relaxed CaCu2OsPb crystal, as listed in Alexandria via LeMat-Bulk.

Summary:
Its formation enthalpy at 0 K is 1.64 eV/atom. The value obtained for the excess energy over the best structure of this formula in the dataset is 0.0 meV per atom. The density of states at the Fermi level is 4.08 states/eV/cell. Its space group is P4/mmm (123).

abc: 4.8174 4.8174 5.2470
angles: 90.00 90.00 90.00
With the nearest neighbours (Å) after each atom.
Element x y z (fractional)
Ca: 0.0000 0.0000 0.0000  4 Cu 2.41, 2 Os 2.62
Cu: 0.0000 0.5000 0.0000  2 Ca 2.41
Cu: 0.5000 0.0000 0.0000  2 Ca 2.41
Os: 0.0000 0.0000 0.5000  2 Ca 2.62
Pb: 0.5000 0.5000 0.5000  4 Os 3.41, 8 Cu 3.56